A relaxed structure of InCoNO2, computed with PBE with a Hubbard U.

Computed properties:
Its space group is P4/mmm (123). The value obtained for the total energy is -4.5562 eV per atom. For the density of states at the Fermi level, the calculation gives 3.06 states/eV per cell.

Cell: 4.172 4.172 4.197 Å, 90.00 90.00 90.00°
Fractional coordinates of all 5 atoms:
In 0.000 0.000 0.000
Co 0.500 0.500 0.500
N 0.000 0.000 0.500
O 0.000 0.500 0.000
O 0.500 0.000 0.000